Here is an optimized crystal structure of ZrAlRe from Alexandria. Energies are from GGA-PBE.

Lattice parameters (Å, degrees): 6.3479 6.3479 6.3479 90.00 90.00 90.00
Space group F-43m (No. 216)
Asymmetric unit:
Zr  0.0000  0.0000  0.0000 (multiplicity 4)
Al  0.2500  0.2500  0.7500 (multiplicity 4)
Re  0.2500  0.2500  0.2500 (multiplicity 4)

E_form = 825 meV/atom
magnetic moment = 0.00 μB/cell
total DFT energy (no corrections) = -0.2727 Ha/atom